Ba14Cd6Ir3 | PBE | optimized geometry

## Properties
final energy = -2.7424 eV/atom
energy relative to the elements = -178 meV per atom

Lattice parameters (Å, degrees): 7.9367 11.8993 13.0742 123.33 90.00 89.78
Closest atoms and distances in Å follow each position.
Positions (direct):
1 Ba 0.9470 0.1220 0.2839  1 Ir 2.99
2 Ba 0.0182 0.8175 0.9086  1 Ir 3.10
3 Ba 0.9473 0.1221 0.8380  1 Ir 2.99
4 Ba 0.4515 0.2095 0.3817  1 Ir 2.97
5 Ba 0.5325 0.5162 0.7582  1 Ir 3.07
6 Ba 0.4518 0.2094 0.8279  1 Ir 2.97
7 Ba 0.5208 0.9782 0.9891  1 Ir 3.02
8 Ba 0.0364 0.3540 0.6771  1 Ir 3.02
9 Ba 0.6805 0.7767 0.2241  1 Ir 3.04
10 Ba 0.6808 0.7767 0.5525  1 Ir 3.04
11 Ba 0.6920 0.3974 0.1987  2 Ir 3.21-3.27
12 Ba 0.2103 0.5558 0.4417  1 Ir 3.06
13 Ba 0.2102 0.5558 0.1141  1 Ir 3.06
14 Ba 0.2379 0.9366 0.4683  2 Ir 3.16-3.18
15 Cd 0.2815 0.8745 0.1584  7 Ba 3.55-3.71
16 Cd 0.2819 0.8743 0.7159  7 Ba 3.55-3.71
17 Cd 0.1777 0.2326 0.1164  1 Ir 2.78
18 Cd 0.7944 0.4615 0.5073  7 Ba 3.57-3.76
19 Cd 0.7943 0.4614 0.9542  7 Ba 3.57-3.76
20 Cd 0.6944 0.1006 0.5503  1 Ir 2.77
21 Ir 0.8664 0.1051 0.0524  1 Cd 2.78, 4 Ba 2.99-3.10
22 Ir 0.3855 0.2316 0.6159  1 Cd 2.77, 4 Ba 2.97-3.07
23 Ir 0.4497 0.6638 0.3319  6 Ba 3.04-3.27